# 1
Density functional theory data (PBE) for a relaxed V3SnH crystal.

POSCAR file:
```
V3SnH
1.0
4.517 0.000 0.000
-2.258 3.912 0.000
0.000 0.000 7.648
V Sn H
6 2 2
Cartesian
0.000 0.000 1.912
0.000 0.000 5.736
0.000 2.608 0.722
0.000 2.608 3.102
2.258 1.304 4.546
2.258 1.304 6.926
0.000 2.608 5.736
2.258 1.304 1.912
0.000 0.000 0.000
0.000 0.000 3.824
```

Values from the calculation:
* electronic total energy: -0.4870 Ry/atom

=====

# 2
Density functional theory data (PBE) for a relaxed MgGeMo3 crystal.

POSCAR file:
```
MgGeMo3
1.0
4.585 0.000 0.000
0.000 4.585 0.000
0.000 0.000 4.585
Mg Ge Mo
1 1 3
Cartesian
0.000 0.000 0.000
2.292 2.292 2.292
0.000 0.000 2.292
0.000 2.292 0.000
2.292 0.000 0.000
```

Values from the calculation:
* ΔE_f: 2089 meV per atom
* energy above the most stable polymorph in this dataset: 0.890 eV per atom

=====

# 3
Density functional theory data (PBE) for a relaxed In2GaIF crystal.

POSCAR file:
```
In2GaIF
1.0
5.607 0.000 0.000
0.000 5.607 0.000
0.000 0.000 4.318
In Ga I F
2 1 1 1
Cartesian
0.000 2.803 0.000
2.803 0.000 0.000
0.000 0.000 0.000
2.803 2.803 2.159
0.000 0.000 2.159
```

Values from the calculation:
* formation energy without anion corrections: -0.73 eV per atom

=====

# 4
Density functional theory data (PBE) for a relaxed RbV3Se crystal.

POSCAR file:
```
RbV3Se
1.0
4.563 0.000 0.000
0.000 4.563 0.000
0.000 0.000 4.563
Rb V Se
1 3 1
Cartesian
0.000 0.000 0.000
0.000 0.000 2.282
0.000 2.282 0.000
2.282 0.000 0.000
2.282 2.282 2.282
```

Values from the calculation:
* energy above the most stable polymorph in this dataset: 1.545 eV per atom
* formation energy without anion corrections: 2.59 eV per atom

=====

# 5
Density functional theory data (PBE) for a relaxed BePdPbAu crystal.

POSCAR file:
```
BePdPbAu
1.0
3.084 0.000 0.000
0.000 3.084 0.000
0.000 0.000 7.343
Be Pd Pb Au
1 1 1 1
Cartesian
0.000 0.000 0.000
1.542 1.542 6.127
0.000 0.000 3.963
1.542 1.542 1.479
```

Values from the calculation:
* ΔE_f: -134 meV per atom
* energy above the most stable polymorph in this dataset: 0.024 eV per atom

=====

# 6
Density functional theory data (PBE) for a relaxed MnNiTe3 crystal.

POSCAR file:
```
MnNiTe3
1.0
3.413 1.970 5.636
-3.413 1.970 5.636
0.000 -3.941 5.636
Mn Ni Te
2 2 6
Cartesian
0.000 0.000 2.755
0.000 0.000 14.153
0.000 0.000 5.721
0.000 0.000 11.187
-2.276 -0.062 7.021
-1.084 -2.003 9.887
1.192 -1.940 7.021
-1.192 1.940 9.887
1.084 2.003 7.021
2.276 0.062 9.887
```

Values from the calculation:
* energy above the most stable polymorph in this dataset: 0.000 eV per atom
* formation energy without anion corrections: -0.16 eV per atom

=====

# 7
Density functional theory data (PBE) for a relaxed Pr2Sm3Ge2 crystal.

POSCAR file:
```
Pr2Sm3Ge2
1.0
6.014 -2.150 0.000
6.014 2.150 0.000
-3.126 0.000 8.028
Pr Sm Ge
2 3 2
Cartesian
0.851 0.000 2.459
8.051 0.000 5.569
4.269 0.000 0.460
4.451 0.000 4.014
4.634 0.000 7.568
-0.195 0.000 5.668
9.097 0.000 2.360
```

Values from the calculation:
* ΔE_f: -516 meV per atom

=====

# 8
Density functional theory data (PBE) for a relaxed Sr5Se4Cl crystal.

POSCAR file:
```
Sr5Se4Cl
1.0
-2.220 3.118 11.038
2.220 -3.118 11.038
2.220 3.118 -11.038
Sr Se Cl
5 4 1
Cartesian
0.000 0.000 0.000
0.000 0.000 4.414
0.000 0.000 8.721
0.000 0.000 13.355
0.000 0.000 17.663
2.220 0.000 2.154
2.220 0.000 6.643
0.000 3.118 4.396
0.000 3.118 8.884
0.000 3.118 0.000
```

Values from the calculation:
* formation energy without anion corrections: -1.99 eV per atom